ZnNiPtO4: relaxed, PBE+U.

a = 5.935 Å, b = 6.194 Å, c = 8.674 Å
α = 90.00°, β = 90.00°, γ = 90.00°
Space group Imma (No. 74)
Symmetry-distinct sites (fractional):
Zn 0.000 0.250 0.148 [4 per cell]
Ni 0.250 0.250 0.750 [4 per cell]
Pt 0.000 0.000 0.500 [4 per cell]
O 0.000 0.021 0.736 [8 per cell]
O 0.228 0.250 0.504 [8 per cell]

Values from the calculation:
M_tot, μB per formula unit: 2.00
Total DFT energy (no corrections), hartree per atom: -0.192